Material: MnAs4Pb
Method: DFT, PBE
State: relaxed

Density of states at the Fermi level (states/eV per cell): 15.36
Calculated volume (A^3/atom): 21.65
Calculated formation energy (meV/atom): 457

Cell and atoms, written as CIF:
```
data_MnAs4Pb
_cell_length_a 8.039
_cell_length_b 8.039
_cell_length_c 8.039
_cell_angle_alpha 90.00
_cell_angle_beta 90.00
_cell_angle_gamma 90.00
_symmetry_space_group_name_H-M 'F -4 3 m'
_symmetry_Int_Tables_number 216
_symmetry_space_group_name_Hall 'F -4 2 3'
loop_
_atom_site_label
_atom_site_type_symbol
_atom_site_fract_x
_atom_site_fract_y
_atom_site_fract_z
Mn1 Mn 0.000 0.000 0.000
As1 As 0.127 0.127 0.373
Pb1 Pb 0.250 0.250 0.750
```